1.
# Ca6Tl5Sn PBE optimized geometry
data_Ca6Tl5Sn
_chemical_formula_sum 'Ca6 Tl5 Sn1'
_cell_length_a 5.4778
_cell_length_b 7.7836
_cell_length_c 8.6842
_cell_angle_alpha 90.00
_cell_angle_beta 108.28
_cell_angle_gamma 90.00
_symmetry_space_group_name_H-M 'P 1'
_symmetry_Int_Tables_number 1
loop_
_symmetry_equiv_pos_as_xyz
'x,y,z'
loop_
_atom_site_label
_atom_site_fract_x
_atom_site_fract_y
_atom_site_fract_z
Ca1 0.0000 0.2454 0.0000
Ca2 0.0000 0.7546 0.0000
Ca3 0.3358 0.2502 0.6704
Ca4 0.3358 0.7498 0.6704
Ca5 0.6642 0.2502 0.3296
Ca6 0.6642 0.7498 0.3296
Tl1 0.1665 0.5000 0.3346
Tl2 0.1710 0.0000 0.3432
Tl3 0.5000 0.5000 0.0000
Tl4 0.8290 0.0000 0.6568
Tl5 0.8335 0.5000 0.6654
Sn1 0.5000 0.0000 0.0000
# Fermi-level density of states (states/eV/f.u.): 6.00
# Calculated formation energy (eV/atom): -0.478
# Space-group type: P2/m (10)

2.
# Ac2PaAs3O3 PBE optimized geometry
data_Ac2PaAs3O3
_chemical_formula_sum 'Ac2 Pa1 As3 O3'
_cell_length_a 6.2543
_cell_length_b 6.2543
_cell_length_c 5.2060
_cell_angle_alpha 90.00
_cell_angle_beta 90.00
_cell_angle_gamma 120.00
_symmetry_space_group_name_H-M 'P 1'
_symmetry_Int_Tables_number 1
loop_
_symmetry_equiv_pos_as_xyz
'x,y,z'
loop_
_atom_site_label
_atom_site_fract_x
_atom_site_fract_y
_atom_site_fract_z
Ac1 0.3333 0.6667 0.0000
Ac2 0.6667 0.3333 0.0000
Pa1 0.0000 0.0000 0.5000
As1 0.0000 0.5323 0.5000
As2 0.4677 0.4677 0.5000
As3 0.5323 0.0000 0.5000
O1 0.0000 0.2500 0.0000
O2 0.2500 0.0000 0.0000
O3 0.7500 0.7500 0.0000
# Fermi-level density of states (states/eV/f.u.): 9.39
# E_form (uncorrected) (eV per formula unit): -13.05
# Space-group type: P-62m (189)

3.
# ErUAl4 PBE optimized geometry
data_ErUAl4
_chemical_formula_sum 'Er1 U1 Al4'
_cell_length_a 5.5250
_cell_length_b 5.5250
_cell_length_c 5.5250
_cell_angle_alpha 60.00
_cell_angle_beta 60.00
_cell_angle_gamma 60.00
_symmetry_space_group_name_H-M 'P 1'
_symmetry_Int_Tables_number 1
loop_
_symmetry_equiv_pos_as_xyz
'x,y,z'
loop_
_atom_site_label
_atom_site_fract_x
_atom_site_fract_y
_atom_site_fract_z
Er1 0.0000 0.0000 0.0000
U1 0.7500 0.7500 0.7500
Al1 0.3756 0.3756 0.3756
Al2 0.3756 0.3756 0.8733
Al3 0.3756 0.8733 0.3756
Al4 0.8733 0.3756 0.3756
# Fermi-level density of states (states/eV/f.u.): 8.93
# Calculated formation energy (eV/atom): -0.238
# Space-group type: F-43m (216)